No. 1
Material: PmDyZn
Method: DFT, PBE-GGA
State: relaxed

## Properties
electronic total energy: -3.75 eV/atom
energy of formation from the pure elements: -4.74 kcal/mol of atoms

a = 6.6610 Å, b = 6.6610 Å, c = 6.6610 Å
α = 148.43°, β = 148.43°, γ = 45.26°
Closest atoms and distances in Å follow each position.
Fractional positions:
Pm1 0.0000 0.0000 0.0000  4 Zn 3.18, 1 Dy 3.55
Dy1 0.2886 0.2886 0.0000  4 Zn 3.06
Zn1 0.6529 0.6529 0.0000  4 Dy 3.06, 4 Pm 3.18

***

No. 2
Material: BaSiTe3
Method: DFT, PBE-GGA
State: relaxed

## Properties
electronic total energy: -4.08 eV/atom
ΔE_f (raw): -0.725 eV per atom

a = 5.9322 Å, b = 8.1439 Å, c = 8.2063 Å
α = 78.39°, β = 83.79°, γ = 87.10°
Closest atoms and distances in Å follow each position.
Fractional positions:
Ba1 0.2235 0.1423 0.1816  7 Te 3.56-3.78
Ba2 0.7765 0.8577 0.8184  7 Te 3.56-3.78
Si1 0.0032 0.3268 0.6529  4 Te 2.51-2.58
Si2 0.9968 0.6732 0.3471  4 Te 2.51-2.58
Te1 0.2055 0.6058 0.6140  2 Si 2.57-2.58
Te2 0.2321 0.7317 0.0698  1 Si 2.51
Te3 0.2723 0.0854 0.6210  1 Si 2.51
Te4 0.7277 0.9146 0.3790  1 Si 2.51
Te5 0.7679 0.2683 0.9302  1 Si 2.51
Te6 0.7945 0.3942 0.3860  2 Si 2.57-2.58

***

No. 3
Material: HPd6Se3
Method: DFT, PBE-GGA
State: relaxed

## Properties
electronic total energy: -4.63 eV/atom

a = 9.1856 Å, b = 3.2941 Å, c = 11.2019 Å
α = 90.00°, β = 112.08°, γ = 90.00°
Closest atoms and distances in Å follow each position.
Fractional positions:
H1 0.0912 0.2500 0.1593  3 Pd 1.79-1.98
H2 0.9088 0.7500 0.8407  3 Pd 1.79-1.98
Pd1 0.0516 0.7500 0.2402  2 H 1.98
Pd2 0.1185 0.7500 0.9914  1 H 2.03
Pd3 0.1418 0.2500 0.5075  4 Se 2.50-2.69
Pd4 0.3013 0.2500 0.2200  1 H 1.79
Pd5 0.3564 0.7500 0.4486  3 Se 2.51-2.70
Pd6 0.3997 0.7500 0.8330  6 Se 2.53-2.73
Pd7 0.6003 0.2500 0.1670  6 Se 2.53-2.73
Pd8 0.6436 0.2500 0.5514  3 Se 2.51-2.70
Pd9 0.6987 0.7500 0.7800  1 H 1.79
Pd10 0.8582 0.7500 0.4925  4 Se 2.50-2.69
Pd11 0.8815 0.2500 0.0086  1 H 2.03
Pd12 0.9484 0.2500 0.7598  2 H 1.98
Se1 0.1097 0.7500 0.6859  6 Pd 2.50-2.69
Se2 0.3289 0.2500 0.9921  6 Pd 2.53-2.68
Se3 0.4435 0.2500 0.6547  8 Pd 2.51-2.78
Se4 0.5565 0.7500 0.3453  8 Pd 2.51-2.78
Se5 0.6711 0.7500 0.0079  6 Pd 2.53-2.68
Se6 0.8903 0.2500 0.3141  6 Pd 2.50-2.69

***

No. 4
Material: NpUIn2Te4
Method: DFT, PBE-GGA
State: relaxed

## Properties
electronic total energy: -5.75 eV/atom
ΔE_f (raw): -0.461 eV per atom

a = 7.5515 Å, b = 4.3669 Å, c = 8.6636 Å
α = 90.00°, β = 106.89°, γ = 90.00°
Closest atoms and distances in Å follow each position.
Fractional positions:
Np1 0.0000 0.0000 0.0000  6 Te 3.13
U1 0.5000 0.5000 0.0000  6 Te 3.11-3.12
In1 0.0000 0.5000 0.5000  6 Te 3.42
In2 0.5000 0.0000 0.5000  6 Te 3.40-3.41
Te1 0.2426 0.5000 0.2219  1 U 3.11, 2 Np 3.13, 3 In 3.41-3.42
Te2 0.2613 0.0000 0.7779  2 U 3.12, 1 Np 3.13, 3 In 3.40-3.42
Te3 0.7387 0.0000 0.2221  2 U 3.12, 1 Np 3.13, 3 In 3.40-3.42
Te4 0.7574 0.5000 0.7781  1 U 3.11, 2 Np 3.13, 3 In 3.41-3.42

***

Among the records above, which one has the lowest electronic total energy? NpUIn2Te4

***

Number 1 is which compound? PmDyZn

***

Which of these has the highest electronic total energy? PmDyZn